A plane-wave DFT calculation with GGA-PBE was carried out for a relaxed structure of Tm7Ru2Pt2.

For the volume, the calculation gives 552.86 Å³/cell. For the formation energy, the calculation gives -0.466 eV/atom. The calculated total energy comes out at -134.117 eV for the cell shown.

The space group is C2/m (No. 12) and the conventional cell measures 10.3926, 7.7763 and 6.8820 Å, with angles of 90.00, 96.26 and 90.00 degrees. The asymmetric unit holds Tm at (0.0000, 0.0000, 0.0000), Tm at (0.0210, 0.5000, 0.2705), Tm at (0.2287, 0.2530, 0.7240), Ru at (0.0000, 0.1839, 0.5000) and Pt at (0.2154, 0.5000, 0.0015).